VASP calculation (GGA-PBE) on an optimized crystal structure of InTcAs2.

Summary:
**Energy of formation from the pure elements**: 0.58 eV/atom

Unit cell a=6.636 b=6.636 c=6.636 alpha=90.00 beta=90.00 gamma=90.00
Space group F-43m (No. 216)
Asymmetric unit:
In 0.000 0.000 0.000 x4
Tc 0.250 0.250 0.250 x4
As 0.000 0.000 0.500 x4
As 0.250 0.250 0.750 x4